1.
Entry from the Open Quantum Materials Database: a geometry-optimized YAsAuO structure (PBE-GGA).

a b c (Å): 4.031 4.031 8.987
angles (deg): 90.00 90.00 90.00
Atoms (fractional coordinates):
As 0.500 0.000 0.697
O 0.500 0.500 0.000
Au 0.500 0.500 0.500
Y 0.500 0.000 0.118
Y 0.000 0.500 0.882
Au 0.000 0.000 0.500
As 0.000 0.500 0.303
O 0.000 0.000 0.000

Summary:
The total magnetization is 0.003 μB/f.u. The value obtained for the energy is -0.4717 Ry per atom. The calculation puts the energy above the most stable polymorph in this dataset at 0.000 eV/atom.

---

2.
Entry from the Open Quantum Materials Database: a geometry-optimized YAsAuO structure (PBE-GGA).

a b c (Å): 5.689 4.228 6.162
angles (deg): 90.00 90.00 90.00
Atoms (fractional coordinates):
As 0.000 0.993 0.233
Y 0.500 0.783 0.595
Au 0.000 0.497 0.484
Y 0.500 0.217 0.095
O 0.500 0.697 0.942
Au 0.000 0.503 0.984
As 0.000 0.007 0.733
O 0.500 0.303 0.442

Summary:
The total magnetization is 0.005 μB/f.u. The value obtained for the energy is -0.4584 Ry per atom. The calculation puts the energy above the most stable polymorph in this dataset at 0.181 eV/atom.

---

3.
Entry from the Open Quantum Materials Database: a geometry-optimized YAsAuO structure (PBE-GGA).

a b c (Å): 3.826 7.595 6.136
angles (deg): 90.00 90.00 90.00
Atoms (fractional coordinates):
O 0.500 0.336 0.449
As 0.000 0.837 0.428
Au 0.500 0.370 0.953
Y 0.000 0.779 0.924
Y 0.000 0.221 0.424
Au 0.500 0.630 0.453
As 0.000 0.163 0.928
O 0.500 0.664 0.949

Summary:
The total magnetization is 0.001 μB/f.u. The value obtained for the energy is -0.4459 Ry per atom. The calculation puts the energy above the most stable polymorph in this dataset at 0.351 eV/atom.